(1)
## SbPb6 (PBE-GGA)

Data for a relaxed structure of SbPb6.

Calculated values
DOS at the Fermi energy = 3.98 states/eV/cell
Calculated volume = 45.1 A^3/atom
Calculated density = 7.18 g/cm³
Total magnetic moment = 2.6 μB per cell
Space-group type = Im-3m (229)
Energy above the most stable polymorph in this dataset = 11.28 kcal/mol of atoms

POSCAR file:
```
SbPb6
1.0
-4.290 4.290 4.290
4.290 -4.290 4.290
4.290 4.290 -4.290
Sb Pb
1 6
Cartesian
0.000 0.000 0.000 Sb
4.290 2.145 0.000 Pb
4.290 0.000 2.145 Pb
2.145 4.290 0.000 Pb
2.145 0.000 4.290 Pb
0.000 4.290 2.145 Pb
0.000 2.145 4.290 Pb
```

=====

(2)
## IrPbCl2 (PBE-GGA)

Data for a relaxed structure of IrPbCl2.

Calculated values
DOS at the Fermi energy = 1.85 states/eV/cell
Calculated volume = 22.9 A^3/atom
Calculated density = 8.53 g/cm³
Total magnetic moment = 0.0 μB per cell
Space-group type = P4mm (99)
Energy above the most stable polymorph in this dataset = 7.25 kcal/mol of atoms

POSCAR file:
```
IrPbCl2
1.0
3.443 0.000 0.000
0.000 3.443 0.000
0.000 0.000 7.723
Ir Pb Cl
1 1 2
Cartesian
0.000 0.000 0.000 Ir
1.722 1.722 2.319 Pb
0.000 0.000 4.133 Cl
1.722 1.722 7.099 Cl
```

=====

(3)
## YNiSb2 (PBE-GGA)

Data for a relaxed structure of YNiSb2.

Calculated values
DOS at the Fermi energy = 1.91 states/eV/cell
Raw total energy = -5.4548 eV per atom
Calculated volume = 22.6 A^3/atom
Calculated density = 7.17 g/cm³
Total magnetic moment = 0.0 μB per cell
Space-group type = Cmmm (65)

POSCAR file:
```
YNiSb2
1.0
2.135 -2.941 0.000
2.135 2.941 0.000
0.000 0.000 7.214
Y Ni Sb
1 1 2
Cartesian
0.000 0.000 0.000 Y
0.000 0.000 3.607 Ni
2.135 0.000 2.108 Sb
2.135 0.000 5.106 Sb
```

=====

Please write out number 2 again, unchanged.
## IrPbCl2 (PBE-GGA)

Data for a relaxed structure of IrPbCl2.

Calculated values
DOS at the Fermi energy = 1.85 states/eV/cell
Calculated volume = 22.9 A^3/atom
Calculated density = 8.53 g/cm³
Total magnetic moment = 0.0 μB per cell
Space-group type = P4mm (99)
Energy above the most stable polymorph in this dataset = 7.25 kcal/mol of atoms

POSCAR file:
```
IrPbCl2
1.0
3.443 0.000 0.000
0.000 3.443 0.000
0.000 0.000 7.723
Ir Pb Cl
1 1 2
Cartesian
0.000 0.000 0.000 Ir
1.722 1.722 2.319 Pb
0.000 0.000 4.133 Cl
1.722 1.722 7.099 Cl
```